A geometry-optimized HfZr3Os structure, computed with PBE-GGA.

POSCAR file:
```
HfZr3Os
1.0
-0.323 1.501 -2.919
-5.680 0.376 -1.040
-0.130 10.086 5.193
Zr Os Hf
6 2 2
Direct
0.643 0.718 0.954
0.357 0.282 0.046
0.139 0.720 0.456
0.861 0.280 0.544
0.943 0.113 0.822
0.057 0.887 0.178
0.544 0.912 0.643
0.456 0.088 0.357
0.221 0.559 0.731
0.779 0.441 0.269
```

Energy of formation from the pure elements   -218 meV per atom
Energy above the most stable polymorph in this dataset   0 meV/atom
SG   P-1, No. 2
Density   10281 kg/m3